Material: ReIrF3
Method: DFT, PBE-GGA
State: relaxed

a b c (Å): 4.324 4.324 4.324
angles (deg): 90.00 90.00 90.00
Fractional coordinates of all 5 atoms:
Re (0.000, 0.000, 0.000)
Ir (0.500, 0.500, 0.500)
F (0.000, 0.500, 0.500)
F (0.500, 0.000, 0.500)
F (0.500, 0.500, 0.000)

Its uncorrected formation energy is 500 meV/atom. The value obtained for the total energy is -24.42 eV per cell. The offset from the most stable computed form is 0.169 eV per atom. Its crystal system is cubic.